*w*
! AlWI2 | the Alexandria database | GGA-PBE | optimized geometry; values from VASP
&SYSTEM
  ibrav = 0, nat = 8, ntyp = 3
/
ATOMIC_SPECIES
I 126.90 I.upf
Al 26.98 Al.upf
W 183.84 W.upf
ATOMIC_POSITIONS crystal
I 0.772 0.125 0.250
I 0.978 0.625 0.250
I 0.375 0.228 0.750
I 0.875 0.022 0.750
Al 0.500 0.500 0.000
Al 0.250 0.750 0.500
W 0.000 0.000 0.000
W 0.750 0.250 0.500
CELL_PARAMETERS angstrom
9.818 0.000 0.000
0.000 9.818 0.000
4.909 4.909 2.585
! Density of states at the Fermi level, states/eV/f.u.: 3.17

***

*x*
! AlWI2 | the Alexandria database | GGA-PBE | optimized geometry; values from VASP
&SYSTEM
  ibrav = 0, nat = 4, ntyp = 3
/
ATOMIC_SPECIES
I 126.90 I.upf
Al 26.98 Al.upf
W 183.84 W.upf
ATOMIC_POSITIONS crystal
I 0.250 0.250 0.250
I 0.750 0.750 0.750
Al 0.000 0.000 0.000
W 0.500 0.500 0.500
CELL_PARAMETERS angstrom
0.000 3.499 3.499
3.499 0.000 3.499
3.499 3.499 0.000
! Density of states at the Fermi level, states/eV/f.u.: 3.30

***

Energy comparison, zero being the most stable, in kJ/mol of atoms: *w* 0.0; *x* 45.9.

***

*w*
! Al2WI2 | the Alexandria database | GGA-PBE | optimized geometry; values from VASP
&SYSTEM
  ibrav = 0, nat = 5, ntyp = 3
/
ATOMIC_SPECIES
I 126.90 I.upf
Al 26.98 Al.upf
W 183.84 W.upf
ATOMIC_POSITIONS crystal
I 0.750 0.250 0.500
I 0.250 0.750 0.500
Al 0.336 0.336 0.329
Al 0.664 0.664 0.671
W 0.000 0.000 0.000
CELL_PARAMETERS angstrom
-4.453 1.822 3.517
-3.781 -0.379 -4.591
-4.911 -3.088 0.431
! Density of states at the Fermi level, states/eV/f.u.: 2.02

***

*x*
! Al2WI2 | the Alexandria database | GGA-PBE | optimized geometry; values from VASP
&SYSTEM
  ibrav = 0, nat = 10, ntyp = 3
/
ATOMIC_SPECIES
I 126.90 I.upf
Al 26.98 Al.upf
W 183.84 W.upf
ATOMIC_POSITIONS crystal
I 0.196 0.696 0.500
I 0.696 0.804 0.500
I 0.804 0.304 0.500
I 0.304 0.196 0.500
Al 0.358 0.858 0.000
Al 0.858 0.642 0.000
Al 0.642 0.142 0.000
Al 0.142 0.358 0.000
W 0.000 0.000 0.000
W 0.500 0.500 0.000
CELL_PARAMETERS angstrom
-3.629 -1.218 -5.954
2.980 -6.401 -0.507
-3.598 -1.879 2.578
! Density of states at the Fermi level, states/eV/f.u.: 3.67

***

Energy comparison, zero being the most stable, in kJ/mol of atoms: *w* 13.8; *x* 0.0.

***

*w*
! AlWI3 | the Alexandria database | GGA-PBE | optimized geometry; values from VASP
&SYSTEM
  ibrav = 0, nat = 5, ntyp = 3
/
ATOMIC_SPECIES
I 126.90 I.upf
Al 26.98 Al.upf
W 183.84 W.upf
ATOMIC_POSITIONS crystal
I 0.000 0.500 0.000
I 0.000 0.000 0.500
I 0.500 0.000 0.000
Al 0.000 0.000 0.000
W 0.500 0.500 0.500
CELL_PARAMETERS angstrom
5.580 0.000 0.000
0.000 5.580 0.000
0.000 0.000 5.580
! Density of states at the Fermi level, states/eV/f.u.: 12.26

***

*x*
! AlWI3 | the Alexandria database | GGA-PBE | optimized geometry; values from VASP
&SYSTEM
  ibrav = 0, nat = 5, ntyp = 3
/
ATOMIC_SPECIES
I 126.90 I.upf
Al 26.98 Al.upf
W 183.84 W.upf
ATOMIC_POSITIONS crystal
I 0.000 0.500 0.000
I 0.000 0.000 0.500
I 0.500 0.000 0.000
Al 0.500 0.500 0.500
W 0.000 0.000 0.000
CELL_PARAMETERS angstrom
-4.095 1.181 -3.747
-2.359 -5.067 0.981
-3.142 2.266 4.147
! Density of states at the Fermi level, states/eV/f.u.: 1.69

***

Energy comparison, zero being the most stable, in kJ/mol of atoms: *w* 45.5; *x* 0.0.

***

*w*
! Y2AlI2 | the Alexandria database | GGA-PBE | optimized geometry; values from VASP
&SYSTEM
  ibrav = 0, nat = 10, ntyp = 3
/
ATOMIC_SPECIES
I 126.90 I.upf
Y 88.91 Y.upf
Al 26.98 Al.upf
ATOMIC_POSITIONS crystal
I 0.365 0.865 0.000
I 0.865 0.635 0.000
I 0.635 0.135 0.000
I 0.135 0.365 0.000
Y 0.163 0.663 0.500
Y 0.663 0.837 0.500
Y 0.837 0.337 0.500
Y 0.337 0.163 0.500
Al 0.000 0.000 0.000
Al 0.500 0.500 0.000
CELL_PARAMETERS angstrom
-7.578 -4.416 -1.438
3.218 -6.977 4.467
-1.365 1.340 3.076
! Density of states at the Fermi level, states/eV/f.u.: 5.77

***

*x*
! Y2AlI2 | the Alexandria database | GGA-PBE | optimized geometry; values from VASP
&SYSTEM
  ibrav = 0, nat = 5, ntyp = 3
/
ATOMIC_SPECIES
I 126.90 I.upf
Y 88.91 Y.upf
Al 26.98 Al.upf
ATOMIC_POSITIONS crystal
I 0.327 0.327 0.346
I 0.673 0.673 0.654
Y 0.750 0.250 0.500
Y 0.250 0.750 0.500
Al 0.000 0.000 0.000
CELL_PARAMETERS angstrom
-0.064 4.777 -3.362
-5.669 0.760 1.188
-1.736 5.398 2.628
! Density of states at the Fermi level, states/eV/f.u.: 2.36

***

Energy comparison, zero being the most stable, in kJ/mol of atoms: *w* 0.0; *x* 2.3.

***

*w*
! Y4AlI5 | the Alexandria database | GGA-PBE | optimized geometry; values from VASP
&SYSTEM
  ibrav = 0, nat = 10, ntyp = 3
/
ATOMIC_SPECIES
Y 88.91 Y.upf
Al 26.98 Al.upf
I 126.90 I.upf
ATOMIC_POSITIONS crystal
Y 0.648 0.076 0.296
Y 0.000 0.219 0.001
Y 0.352 0.924 0.704
Y 0.000 0.781 0.999
Al 0.500 0.000 0.000
I 0.167 0.337 0.334
I 0.173 0.832 0.347
I 0.827 0.168 0.653
I 0.500 0.500 0.000
I 0.833 0.663 0.666
CELL_PARAMETERS angstrom
-1.434 -3.914 -0.696
2.681 -2.426 8.122
-8.318 4.985 1.944
! Density of states at the Fermi level, states/eV/f.u.: 4.51

***

*x*
! Y4AlI5 | the Alexandria database | GGA-PBE | optimized geometry; values from VASP
&SYSTEM
  ibrav = 0, nat = 10, ntyp = 3
/
ATOMIC_SPECIES
Y 88.91 Y.upf
Al 26.98 Al.upf
I 126.90 I.upf
ATOMIC_POSITIONS crystal
Y 0.372 0.002 0.743
Y 0.000 0.780 0.000
Y 0.628 0.998 0.257
Y 0.000 0.220 0.000
Al 0.500 0.000 0.000
I 0.847 0.753 0.694
I 0.847 0.252 0.694
I 0.153 0.748 0.306
I 0.500 0.500 0.000
I 0.153 0.247 0.306
CELL_PARAMETERS angstrom
-1.079 3.986 -0.830
-7.299 -2.831 -4.109
-4.901 -1.549 9.623
! Density of states at the Fermi level, states/eV/f.u.: 4.09

***

Energy comparison, zero being the most stable, in kJ/mol of atoms: *w* 0.0; *x* 3.3.

***

*w*
! YAl2I2 | the Alexandria database | GGA-PBE | optimized geometry; values from VASP
&SYSTEM
  ibrav = 0, nat = 10, ntyp = 3
/
ATOMIC_SPECIES
I 126.90 I.upf
Y 88.91 Y.upf
Al 26.98 Al.upf
ATOMIC_POSITIONS crystal
I 0.351 0.851 0.000
I 0.851 0.649 0.000
I 0.649 0.149 0.000
I 0.149 0.351 0.000
Y 0.000 0.000 0.000
Y 0.500 0.500 0.000
Al 0.181 0.681 0.500
Al 0.681 0.819 0.500
Al 0.819 0.319 0.500
Al 0.319 0.181 0.500
CELL_PARAMETERS angstrom
-4.160 -5.460 4.994
6.758 -5.137 0.013
1.482 1.958 3.374
! Density of states at the Fermi level, states/eV/f.u.: 3.87

***

*x*
! YAl2I2 | the Alexandria database | GGA-PBE | optimized geometry; values from VASP
&SYSTEM
  ibrav = 0, nat = 5, ntyp = 3
/
ATOMIC_SPECIES
I 126.90 I.upf
Y 88.91 Y.upf
Al 26.98 Al.upf
ATOMIC_POSITIONS crystal
I 0.425 0.425 0.150
I 0.575 0.575 0.850
Y 0.000 0.000 0.000
Al 0.750 0.250 0.500
Al 0.250 0.750 0.500
CELL_PARAMETERS angstrom
-2.929 2.217 0.845
-2.355 -2.555 -1.459
-3.578 -5.613 10.735
! Density of states at the Fermi level, states/eV/f.u.: 3.20

***

Energy comparison, zero being the most stable, in kJ/mol of atoms: *w* 36.5; *x* 0.0.

***

*w*
! YAlI2 | the Alexandria database | GGA-PBE | optimized geometry; values from VASP
&SYSTEM
  ibrav = 0, nat = 4, ntyp = 3
/
ATOMIC_SPECIES
I 126.90 I.upf
Y 88.91 Y.upf
Al 26.98 Al.upf
ATOMIC_POSITIONS crystal
I 0.250 0.250 0.250
I 0.750 0.750 0.750
Y 0.500 0.500 0.500
Al 0.000 0.000 0.000
CELL_PARAMETERS angstrom
0.000 3.868 3.868
3.868 0.000 3.868
3.868 3.868 0.000
! Density of states at the Fermi level, states/eV/f.u.: 3.31

***

*x*
! YAlI2 | the Alexandria database | GGA-PBE | optimized geometry; values from VASP
&SYSTEM
  ibrav = 0, nat = 8, ntyp = 3
/
ATOMIC_SPECIES
I 126.90 I.upf
Y 88.91 Y.upf
Al 26.98 Al.upf
ATOMIC_POSITIONS crystal
I 0.768 0.125 0.250
I 0.982 0.625 0.250
I 0.375 0.232 0.750
I 0.875 0.018 0.750
Y 0.000 0.000 0.000
Y 0.750 0.250 0.500
Al 0.500 0.500 0.000
Al 0.250 0.750 0.500
CELL_PARAMETERS angstrom
10.826 0.000 0.000
0.000 10.826 0.000
5.413 5.413 3.073
! Density of states at the Fermi level, states/eV/f.u.: 3.36

***

Energy comparison, zero being the most stable, in kJ/mol of atoms: *w* 8.1; *x* 0.0.